# 1
## Mg2BrCl (GGA-PBE)

Data for a relaxed structure of Mg2BrCl.

Summary:
For the total energy, the calculation gives -2.249 eV per atom. The density of states at the Fermi level is 3.0 states/eV/f.u.

The structure in CIF format:
```
data_Mg2BrCl
_chemical_formula_sum 'Mg4 Br2 Cl2'
_cell_length_a 4.022
_cell_length_b 4.022
_cell_length_c 13.446
_cell_angle_alpha 90.00
_cell_angle_beta 90.00
_cell_angle_gamma 90.00
_symmetry_space_group_name_H-M 'I -4 m 2'
_symmetry_Int_Tables_number 119
_symmetry_space_group_name_Hall 'I -4 -2'
loop_
_atom_site_label
_atom_site_fract_x
_atom_site_fract_y
_atom_site_fract_z
_atom_site_occupancy
Mg1 0.000 0.000 0.000 1
Mg2 0.000 0.500 0.250 1
Br1 0.000 0.500 0.750 1
Cl1 0.000 0.000 0.500 1
```

***

# 2
## Mg2BrCl (GGA-PBE)

Data for a relaxed structure of Mg2BrCl.

Summary:
For the total energy, the calculation gives -1.915 eV per atom. The density of states at the Fermi level is 4.0 states/eV/f.u.

The structure in CIF format:
```
data_Mg2BrCl
_chemical_formula_sum 'Mg8 Br4 Cl4'
_cell_length_a 7.427
_cell_length_b 7.427
_cell_length_c 7.427
_cell_angle_alpha 90.00
_cell_angle_beta 90.00
_cell_angle_gamma 90.00
_symmetry_space_group_name_H-M 'F -4 3 m'
_symmetry_Int_Tables_number 216
_symmetry_space_group_name_Hall 'F -4 2 3'
loop_
_atom_site_label
_atom_site_fract_x
_atom_site_fract_y
_atom_site_fract_z
_atom_site_occupancy
Mg1 0.000 0.000 0.000 1
Mg2 0.250 0.250 0.250 1
Br1 0.000 0.000 0.500 1
Cl1 0.250 0.250 0.750 1
```

***

# 3
## Mg2BrCl (GGA-PBE)

Data for a relaxed structure of Mg2BrCl.

Summary:
For the total energy, the calculation gives -2.175 eV per atom. The density of states at the Fermi level is 2.6 states/eV/f.u.

The structure in CIF format:
```
data_Mg2BrCl
_chemical_formula_sum 'Mg2 Br1 Cl1'
_cell_length_a 3.690
_cell_length_b 3.690
_cell_length_c 7.014
_cell_angle_alpha 90.00
_cell_angle_beta 90.00
_cell_angle_gamma 90.00
_symmetry_space_group_name_H-M 'P 4/m m m'
_symmetry_Int_Tables_number 123
_symmetry_space_group_name_Hall '-P 4 2'
loop_
_atom_site_label
_atom_site_fract_x
_atom_site_fract_y
_atom_site_fract_z
_atom_site_occupancy
Mg1 0.000 0.000 0.229 1
Br1 0.500 0.500 0.500 1
Cl1 0.500 0.500 0.000 1
```

***

# 4
## Mg3BrCl (GGA-PBE)

Data for a relaxed structure of Mg3BrCl.

Summary:
For the total energy, the calculation gives -1.658 eV per atom. The density of states at the Fermi level is 3.9 states/eV/f.u.

The structure in CIF format:
```
data_Mg3BrCl
_chemical_formula_sum 'Mg3 Br1 Cl1'
_cell_length_a 5.371
_cell_length_b 5.371
_cell_length_c 5.371
_cell_angle_alpha 90.00
_cell_angle_beta 90.00
_cell_angle_gamma 90.00
_symmetry_space_group_name_H-M 'P m -3 m'
_symmetry_Int_Tables_number 221
_symmetry_space_group_name_Hall '-P 4 2 3'
loop_
_atom_site_label
_atom_site_fract_x
_atom_site_fract_y
_atom_site_fract_z
_atom_site_occupancy
Mg1 0.000 0.000 0.500 1
Br1 0.500 0.500 0.500 1
Cl1 0.000 0.000 0.000 1
```

***

# 5
## Mg2BrCl (GGA-PBE)

Data for a relaxed structure of Mg2BrCl.

Summary:
For the total energy, the calculation gives -2.295 eV per atom. The density of states at the Fermi level is 2.8 states/eV/f.u.

The structure in CIF format:
```
data_Mg2BrCl
_chemical_formula_sum 'Mg4 Br2 Cl2'
_cell_length_a 3.609
_cell_length_b 6.467
_cell_length_c 8.550
_cell_angle_alpha 90.00
_cell_angle_beta 90.00
_cell_angle_gamma 90.00
_symmetry_space_group_name_H-M 'I m m m'
_symmetry_Int_Tables_number 71
_symmetry_space_group_name_Hall '-I 2 2'
loop_
_atom_site_label
_atom_site_fract_x
_atom_site_fract_y
_atom_site_fract_z
_atom_site_occupancy
Mg1 0.000 0.000 0.236 1
Br1 0.000 0.500 0.000 1
Cl1 0.000 0.500 0.500 1
```

***

# 6
## MgBr3Cl (GGA-PBE)

Data for a relaxed structure of MgBr3Cl.

Summary:
For the total energy, the calculation gives -1.542 eV per atom. The density of states at the Fermi level is 4.1 states/eV/f.u.

The structure in CIF format:
```
data_MgBr3Cl
_chemical_formula_sum 'Mg1 Br3 Cl1'
_cell_length_a 5.382
_cell_length_b 5.382
_cell_length_c 5.382
_cell_angle_alpha 90.00
_cell_angle_beta 90.00
_cell_angle_gamma 90.00
_symmetry_space_group_name_H-M 'P m -3 m'
_symmetry_Int_Tables_number 221
_symmetry_space_group_name_Hall '-P 4 2 3'
loop_
_atom_site_label
_atom_site_fract_x
_atom_site_fract_y
_atom_site_fract_z
_atom_site_occupancy
Mg1 0.000 0.000 0.000 1
Br1 0.000 0.500 0.500 1
Cl1 0.500 0.500 0.500 1
```

***

# 7
## Mg3BrCl (GGA-PBE)

Data for a relaxed structure of Mg3BrCl.

Summary:
For the total energy, the calculation gives -1.513 eV per atom. The density of states at the Fermi level is 4.9 states/eV/f.u.

The structure in CIF format:
```
data_Mg3BrCl
_chemical_formula_sum 'Mg3 Br1 Cl1'
_cell_length_a 5.645
_cell_length_b 5.645
_cell_length_c 5.645
_cell_angle_alpha 90.00
_cell_angle_beta 90.00
_cell_angle_gamma 90.00
_symmetry_space_group_name_H-M 'P m -3 m'
_symmetry_Int_Tables_number 221
_symmetry_space_group_name_Hall '-P 4 2 3'
loop_
_atom_site_label
_atom_site_fract_x
_atom_site_fract_y
_atom_site_fract_z
_atom_site_occupancy
Mg1 0.000 0.000 0.500 1
Br1 0.000 0.000 0.000 1
Cl1 0.500 0.500 0.500 1
```

***

# 8
## MgBr3Cl (GGA-PBE)

Data for a relaxed structure of MgBr3Cl.

Summary:
For the total energy, the calculation gives -2.117 eV per atom. The density of states at the Fermi level is 9.8 states/eV/f.u.

The structure in CIF format:
```
data_MgBr3Cl
_chemical_formula_sum 'Mg1 Br3 Cl1'
_cell_length_a 5.281
_cell_length_b 5.281
_cell_length_c 5.281
_cell_angle_alpha 90.00
_cell_angle_beta 90.00
_cell_angle_gamma 90.00
_symmetry_space_group_name_H-M 'P m -3 m'
_symmetry_Int_Tables_number 221
_symmetry_space_group_name_Hall '-P 4 2 3'
loop_
_atom_site_label
_atom_site_fract_x
_atom_site_fract_y
_atom_site_fract_z
_atom_site_occupancy
Mg1 0.000 0.000 0.000 1
Br1 0.000 0.000 0.500 1
Cl1 0.500 0.500 0.500 1
```

***

# 9
## Mg2BrCl (GGA-PBE)

Data for a relaxed structure of Mg2BrCl.

Summary:
For the total energy, the calculation gives -2.624 eV per atom. The density of states at the Fermi level is 0.5 states/eV/f.u.

The structure in CIF format:
```
data_Mg2BrCl
_chemical_formula_sum 'Mg4 Br2 Cl2'
_cell_length_a 12.067
_cell_length_b 3.438
_cell_length_c 7.117
_cell_angle_alpha 90.00
_cell_angle_beta 123.68
_cell_angle_gamma 90.00
_symmetry_space_group_name_H-M 'C 1 m 1'
_symmetry_Int_Tables_number 8
_symmetry_space_group_name_Hall 'C -2y'
loop_
_atom_site_label
_atom_site_fract_x
_atom_site_fract_y
_atom_site_fract_z
_atom_site_occupancy
Mg1 0.000 0.000 0.000 1
Mg2 0.244 0.000 0.756 1
Br1 0.151 0.500 0.371 1
Cl1 0.106 0.500 0.829 1
```

***

# 10
## Mg2BrCl (GGA-PBE)

Data for a relaxed structure of Mg2BrCl.

Summary:
For the total energy, the calculation gives -2.622 eV per atom.

The structure in CIF format:
```
data_Mg2BrCl
_chemical_formula_sum 'Mg2 Br1 Cl1'
_cell_length_a 6.100
_cell_length_b 3.570
_cell_length_c 6.416
_cell_angle_alpha 90.00
_cell_angle_beta 110.59
_cell_angle_gamma 90.00
_symmetry_space_group_name_H-M 'P 1 2/m 1'
_symmetry_Int_Tables_number 10
_symmetry_space_group_name_Hall '-P 2y'
loop_
_atom_site_label
_atom_site_fract_x
_atom_site_fract_y
_atom_site_fract_z
_atom_site_occupancy
Mg1 0.143 0.000 0.368 1
Br1 0.000 0.500 0.000 1
Cl1 0.500 0.500 0.500 1
```

***

# 11
## Mg2BrCl (GGA-PBE)

Data for a relaxed structure of Mg2BrCl.

Summary:
For the total energy, the calculation gives -2.624 eV per atom. The density of states at the Fermi level is 1.0 states/eV/f.u.

The structure in CIF format:
```
data_Mg2BrCl
_chemical_formula_sum 'Mg4 Br2 Cl2'
_cell_length_a 3.805
_cell_length_b 6.144
_cell_length_c 9.767
_cell_angle_alpha 90.00
_cell_angle_beta 90.00
_cell_angle_gamma 90.00
_symmetry_space_group_name_H-M 'C m m 2'
_symmetry_Int_Tables_number 35
_symmetry_space_group_name_Hall 'C 2 -2'
loop_
_atom_site_label
_atom_site_fract_x
_atom_site_fract_y
_atom_site_fract_z
_atom_site_occupancy
Mg1 0.000 0.000 0.000 1
Mg2 0.000 0.500 0.262 1
Br1 0.000 0.000 0.436 1
Cl1 0.000 0.500 0.846 1
```

***

# 12
## Mg2BrCl (GGA-PBE)

Data for a relaxed structure of Mg2BrCl.

Summary:
For the total energy, the calculation gives -2.306 eV per atom. The density of states at the Fermi level is 2.5 states/eV/f.u.

The structure in CIF format:
```
data_Mg2BrCl
_chemical_formula_sum 'Mg8 Br4 Cl4'
_cell_length_a 5.206
_cell_length_b 5.206
_cell_length_c 16.933
_cell_angle_alpha 90.00
_cell_angle_beta 90.00
_cell_angle_gamma 90.00
_symmetry_space_group_name_H-M 'I -4 2 d'
_symmetry_Int_Tables_number 122
_symmetry_space_group_name_Hall 'I -4 2bw'
loop_
_atom_site_label
_atom_site_fract_x
_atom_site_fract_y
_atom_site_fract_z
_atom_site_occupancy
Mg1 0.195 0.250 0.125 1
Br1 0.000 0.000 0.500 1
Cl1 0.000 0.000 0.000 1
```